# 1
ZrCu2Sb2 (PBE, relaxed); formation energy (no corrections) = -0.125 eV/atom; energy above the lowest structure with this stoichiometry = 0.0000 eV/atom
1.0
7.2314 0.0000 0.0000
0.0000 7.2314 0.0000
0.0000 0.0000 3.6277
Zr Cu Sb
2 4 4
Cartesian
0.0000 0.0000 0.0000
3.6157 3.6157 0.0000
0.8518 2.7639 0.0000
2.7639 6.3797 0.0000
4.4675 0.8518 0.0000
6.3797 4.4675 0.0000
1.3003 4.9160 1.8138
2.3154 1.3003 1.8138
4.9160 5.9311 1.8138
5.9311 2.3154 1.8138

***

# 2
CrSbTe2As (PBE, relaxed); formation energy (no corrections) = 1.338 eV/atom; energy above the lowest structure with this stoichiometry = 0.7571 eV/atom
1.0
5.4370 0.0000 0.0000
0.0000 5.4370 0.0000
0.0000 0.0000 5.1520
Cr Sb Te As
1 1 2 1
Cartesian
0.0000 0.0000 0.0000
2.7185 2.7185 0.0000
0.0000 2.7185 2.5760
2.7185 0.0000 2.5760
2.7185 2.7185 2.5760

***

# 3
CuMoAu2 (PBE, relaxed); formation enthalpy at 0 K = 1.4 eV per formula unit; energy above the lowest structure with this stoichiometry = 0.2324 eV/atom
1.0
-2.0646 2.0646 3.7763
2.0646 -2.0646 3.7763
2.0646 2.0646 -3.7763
Cu Mo Au
1 1 2
Cartesian
0.0000 0.0000 0.0000
2.0646 0.0000 1.8881
0.0000 0.0000 3.7763
0.0000 2.0646 1.8881

***

# 4
TiZnSb2 (PBE, relaxed); formation energy (no corrections) = 0.092 eV/atom; energy above the lowest structure with this stoichiometry = 0.1170 eV/atom
1.0
-3.1392 3.1392 6.1575
3.1392 -3.1392 6.1575
3.1392 3.1392 -6.1575
Ti Zn Sb
2 2 4
Cartesian
0.0000 0.0000 0.0000
0.0000 3.1392 3.0787
3.1392 0.0000 3.0787
0.0000 0.0000 6.1575
4.7087 1.5663 -1.5394
1.5663 1.5696 1.5394
-1.5696 1.5729 4.6181
1.5729 1.5696 7.6968

***

# 5
CeTcSb3 (PBE, relaxed); formation energy (no corrections) = -0.511 eV/atom
1.0
12.6718 0.0000 0.0000
0.0000 6.2492 0.0000
0.0000 0.0000 6.1641
Ce Tc Sb
4 4 12
Cartesian
2.5011 0.0606 1.5410
2.5011 3.0640 4.6231
10.1707 3.1853 1.5410
10.1707 6.1886 4.6231
5.0052 1.5623 0.0000
5.0052 1.5623 3.0821
7.6666 4.6869 0.0000
7.6666 4.6869 3.0821
0.0078 1.5623 0.0000
0.0078 1.5623 3.0821
3.5019 3.2284 1.5410
3.5019 6.1454 4.6231
5.5927 3.7486 4.6231
5.5927 5.6253 1.5410
7.0791 0.6239 4.6231
7.0791 2.5007 1.5410
9.1699 0.1038 1.5410
9.1699 3.0208 4.6231
12.6640 4.6869 0.0000
12.6640 4.6869 3.0821

***

# 6
Tm4PtBr5 (PBE, relaxed); formation energy (no corrections) = -1.493 eV/atom
1.0
9.4116 -1.9952 0.0000
9.4116 1.9952 0.0000
-1.6406 0.0000 8.3001
Tm Pt Br
4 1 5
Cartesian
-0.2697 0.0000 1.8006
5.1302 0.0000 7.7244
12.0525 0.0000 0.5757
17.4524 0.0000 6.4996
9.4116 0.0000 0.0000
2.6495 0.0000 2.6638
2.0657 0.0000 7.0321
8.5913 0.0000 4.1501
15.1170 0.0000 1.2680
14.5332 0.0000 5.6364

***

# 7
CrOs2Rh (PBE, relaxed); formation enthalpy at 0 K = 1.9 eV per formula unit; energy above the lowest structure with this stoichiometry = 0.4276 eV/atom
1.0
0.0000 3.0312 3.0312
3.0312 0.0000 3.0312
3.0312 3.0312 0.0000
Cr Os Rh
1 2 1
Cartesian
0.0000 0.0000 0.0000
1.5156 1.5156 1.5156
4.5469 4.5469 4.5469
3.0312 3.0312 3.0312

***

# 8
AcSm2TmSe6 (PBE, relaxed); formation energy (no corrections) = -1.865 eV/atom
1.0
3.7226 2.1492 6.5895
-3.7226 2.1492 6.5895
0.0000 -4.2985 6.5895
Ac Sm Tm Se
1 2 1 6
Cartesian
0.0000 0.0000 0.0000
0.0000 0.0000 5.6759
0.0000 0.0000 15.7219
0.0000 0.0000 9.6378
-2.1372 -0.1968 7.7317
-1.4054 -2.0793 11.0005
1.2391 -1.7525 7.7317
-1.0980 2.2568 11.0005
0.8982 1.9493 7.7317
2.5035 -0.1775 11.0005

***

# 9
BaEuTlGa (PBE, relaxed); formation enthalpy at 0 K = -1.4 eV per formula unit
1.0
0.0000 4.0624 4.0624
4.0624 0.0000 4.0624
4.0624 4.0624 0.0000
Ba Eu Tl Ga
1 1 1 1
Cartesian
0.0000 0.0000 0.0000
4.0624 4.0624 4.0624
6.0935 6.0935 6.0935
2.0312 2.0312 2.0312

***

# 10
TiSbSCl2 (PBE, relaxed); formation energy (no corrections) = -0.510 eV/atom; energy above the lowest structure with this stoichiometry = 0.0000 eV/atom
1.0
4.7886 0.0000 0.0000
0.0000 4.7886 0.0000
0.0000 0.0000 5.0332
Ti Sb S Cl
1 1 1 2
Cartesian
0.0000 0.0000 0.0000
2.3943 2.3943 2.5166
0.0000 0.0000 2.5166
0.0000 2.3943 0.0000
2.3943 0.0000 0.0000

***

# 11
Pm8Dy2Tm3 (PBE, relaxed); formation enthalpy at 0 K = 0.2 eV per formula unit; energy above the lowest structure with this stoichiometry = 0.0000 eV/atom
1.0
6.2239 0.0000 0.0000
1.0453 6.1464 0.0000
2.1009 -0.3153 11.1719
Pm Dy Tm
8 2 3
Cartesian
1.0511 0.3715 3.8793
3.1349 2.1329 8.1594
3.1130 4.2152 1.2816
5.2144 4.9517 9.0246
4.1556 0.8795 2.1473
6.2570 1.6160 9.8903
6.2352 3.6983 3.0126
8.3190 5.4596 7.2926
3.1377 3.1783 4.7344
6.2323 2.6529 6.4375
1.0286 1.4089 0.4298
4.1624 -0.1576 5.5860
8.3415 4.4223 10.7422

***

# 12
LaNdSm (PBE, relaxed); formation enthalpy at 0 K = 0.5 eV per formula unit; energy above the lowest structure with this stoichiometry = 0.1627 eV/atom
1.0
-1.7537 3.3488 9.2464
1.7537 -3.3488 9.2464
1.7537 3.3488 -9.2464
La Nd Sm
2 2 2
Cartesian
0.0000 0.0000 2.9818
0.0000 0.0000 15.5110
0.0000 0.0000 6.5214
0.0000 0.0000 11.9714
0.0000 1.7001 0.0000
0.0000 4.9974 0.0000